# Ca2DyTaN4

Ca2DyTaN4 after structural relaxation (PBE, Alexandria).

Values from the calculation:
SG: P2/m, No. 10
formation energy (no corrections): -126.98 kJ per mole of atoms

```
data_Ca2DyTaN4
_symmetry_space_group_name_H-M 'P 1'
_symmetry_Int_Tables_number 1
_cell_length_a 5.824
_cell_length_b 3.325
_cell_length_c 5.929
_cell_angle_alpha 90.00
_cell_angle_beta 108.94
_cell_angle_gamma 90.00
loop_
_symmetry_equiv_pos_as_xyz
'x,y,z'
loop_
_atom_site_label
_atom_site_type_symbol
_atom_site_fract_x
_atom_site_fract_y
_atom_site_fract_z
Ca1 Ca 0.000 0.000 0.000
Ca2 Ca 0.500 0.500 0.000
Dy1 Dy 0.000 0.500 0.500
Ta1 Ta 0.500 0.000 0.500
N1 N 0.269 0.000 0.715
N2 N 0.281 0.500 0.286
N3 N 0.719 0.500 0.714
N4 N 0.731 0.000 0.285
```

=====

# KAlH3

KAlH3 after structural relaxation (PBE, Alexandria).

Values from the calculation:
SG: Pm-3m, No. 221

```
data_KAlH3
_symmetry_space_group_name_H-M 'P 1'
_symmetry_Int_Tables_number 1
_cell_length_a 3.960
_cell_length_b 3.960
_cell_length_c 3.960
_cell_angle_alpha 90.00
_cell_angle_beta 90.00
_cell_angle_gamma 90.00
loop_
_symmetry_equiv_pos_as_xyz
'x,y,z'
loop_
_atom_site_label
_atom_site_type_symbol
_atom_site_fract_x
_atom_site_fract_y
_atom_site_fract_z
K1 K 0.000 0.000 0.000
Al1 Al 0.500 0.500 0.500
H1 H 0.000 0.500 0.500
H2 H 0.500 0.000 0.500
H3 H 0.500 0.500 0.000
```

=====

# KLiRu

KLiRu after structural relaxation (PBE, Alexandria).

Values from the calculation:
DFT formation energy: 0.818 eV per atom
SG: P3m1, No. 156

```
data_KLiRu
_symmetry_space_group_name_H-M 'P 1'
_symmetry_Int_Tables_number 1
_cell_length_a 2.891
_cell_length_b 2.891
_cell_length_c 8.353
_cell_angle_alpha 90.00
_cell_angle_beta 90.00
_cell_angle_gamma 120.00
loop_
_symmetry_equiv_pos_as_xyz
'x,y,z'
loop_
_atom_site_label
_atom_site_type_symbol
_atom_site_fract_x
_atom_site_fract_y
_atom_site_fract_z
K1 K 0.000 0.000 0.000
Li1 Li 0.667 0.333 0.420
Ru1 Ru 0.333 0.667 0.672
```

=====

# YFeHg2

YFeHg2 after structural relaxation (PBE, Alexandria).

Values from the calculation:
DFT formation energy: 0.038 eV per atom
SG: P4/mmm, No. 123

```
data_YFeHg2
_symmetry_space_group_name_H-M 'P 1'
_symmetry_Int_Tables_number 1
_cell_length_a 4.410
_cell_length_b 4.410
_cell_length_c 4.439
_cell_angle_alpha 90.00
_cell_angle_beta 90.00
_cell_angle_gamma 90.00
loop_
_symmetry_equiv_pos_as_xyz
'x,y,z'
loop_
_atom_site_label
_atom_site_type_symbol
_atom_site_fract_x
_atom_site_fract_y
_atom_site_fract_z
Y1 Y 0.000 0.000 0.000
Fe1 Fe 0.500 0.500 0.000
Hg1 Hg 0.000 0.500 0.500
Hg2 Hg 0.500 0.000 0.500
```

=====

# Cd2InPb

Cd2InPb after structural relaxation (PBE, Alexandria).

Values from the calculation:
DFT formation energy: 0.049 eV per atom
SG: I4/mmm, No. 139

```
data_Cd2InPb
_symmetry_space_group_name_H-M 'P 1'
_symmetry_Int_Tables_number 1
_cell_length_a 5.678
_cell_length_b 5.678
_cell_length_c 5.678
_cell_angle_alpha 129.84
_cell_angle_beta 129.84
_cell_angle_gamma 73.66
loop_
_symmetry_equiv_pos_as_xyz
'x,y,z'
loop_
_atom_site_label
_atom_site_type_symbol
_atom_site_fract_x
_atom_site_fract_y
_atom_site_fract_z
Cd1 Cd 0.250 0.750 0.500
Cd2 Cd 0.750 0.250 0.500
In1 In 0.000 0.000 0.000
Pb1 Pb 0.500 0.500 0.000
```

=====

# GdAlSn

GdAlSn after structural relaxation (PBE, Alexandria).

Values from the calculation:
DFT formation energy: -0.184 eV per atom
SG: I4mm, No. 107

```
data_GdAlSn
_symmetry_space_group_name_H-M 'P 1'
_symmetry_Int_Tables_number 1
_cell_length_a 5.317
_cell_length_b 5.317
_cell_length_c 5.317
_cell_angle_alpha 133.18
_cell_angle_beta 133.18
_cell_angle_gamma 68.37
loop_
_symmetry_equiv_pos_as_xyz
'x,y,z'
loop_
_atom_site_label
_atom_site_type_symbol
_atom_site_fract_x
_atom_site_fract_y
_atom_site_fract_z
Gd1 Gd 0.000 0.000 0.000
Al1 Al 0.342 0.342 0.000
Sn1 Sn 0.654 0.654 0.000
```

=====

# Li5GaPb4

Li5GaPb4 after structural relaxation (PBE, Alexandria).

Values from the calculation:
DFT formation energy: -0.250 eV per atom
SG: P4/mmm, No. 123

```
data_Li5GaPb4
_symmetry_space_group_name_H-M 'P 1'
_symmetry_Int_Tables_number 1
_cell_length_a 3.470
_cell_length_b 3.470
_cell_length_c 17.682
_cell_angle_alpha 90.00
_cell_angle_beta 90.00
_cell_angle_gamma 90.00
loop_
_symmetry_equiv_pos_as_xyz
'x,y,z'
loop_
_atom_site_label
_atom_site_type_symbol
_atom_site_fract_x
_atom_site_fract_y
_atom_site_fract_z
Li1 Li 0.000 0.000 0.000
Li2 Li 0.000 0.000 0.210
Li3 Li 0.000 0.000 0.418
Li4 Li 0.000 0.000 0.582
Li5 Li 0.000 0.000 0.790
Ga1 Ga 0.500 0.500 0.500
Pb1 Pb 0.500 0.500 0.104
Pb2 Pb 0.500 0.500 0.316
Pb3 Pb 0.500 0.500 0.684
Pb4 Pb 0.500 0.500 0.896
```

=====

# Li3YSb2

Li3YSb2 after structural relaxation (PBE, Alexandria).

Values from the calculation:
SG: P-3m1, No. 164
formation energy (no corrections): -79.98 kJ per mole of atoms

```
data_Li3YSb2
_symmetry_space_group_name_H-M 'P 1'
_symmetry_Int_Tables_number 1
_cell_length_a 4.552
_cell_length_b 4.552
_cell_length_c 7.160
_cell_angle_alpha 90.00
_cell_angle_beta 90.00
_cell_angle_gamma 120.00
loop_
_symmetry_equiv_pos_as_xyz
'x,y,z'
loop_
_atom_site_label
_atom_site_type_symbol
_atom_site_fract_x
_atom_site_fract_y
_atom_site_fract_z
Li1 Li 0.000 0.000 0.000
Li2 Li 0.333 0.667 0.150
Li3 Li 0.667 0.333 0.850
Y1 Y 0.000 0.000 0.500
Sb1 Sb 0.333 0.667 0.749
Sb2 Sb 0.667 0.333 0.251
```

=====

Number 1: spin magnetization 0.0 μB/cell, energy -64.3 eV per cell. Number 2: spin magnetization 0.0 μB/cell, energy -15.0 eV per cell. Number 3: spin magnetization 0.4 μB/cell, energy -9.8 eV per cell. Number 4: spin magnetization 2.3 μB/cell, energy -15.4 eV per cell. Number 5: spin magnetization 0.0 μB/cell, energy -8.1 eV per cell. Number 6: spin magnetization 7.4 μB/cell, energy -22.4 eV per cell. Number 7: spin magnetization 0.0 μB/cell, energy -29.9 eV per cell. Number 8: spin magnetization 0.0 μB/cell, energy -25.4 eV per cell.